Ba5B3ClO9: optimized geometry, PBE.

The structure in CIF format:
```
data_Ba5B3ClO9
_symmetry_space_group_name_H-M 'P 1'
_symmetry_Int_Tables_number 1
_symmetry_space_group_name_Hall 'P 1'
_cell_length_a 9.2568
_cell_length_b 9.2568
_cell_length_c 7.9817
_cell_angle_alpha 90.00
_cell_angle_beta 90.00
_cell_angle_gamma 110.20
loop_
_atom_site_label
_atom_site_fract_x
_atom_site_fract_y
_atom_site_fract_z
Cl1 0.0471 0.9529 0.7500
B1 0.6266 0.6266 0.0000
B2 0.3734 0.3734 0.5000
Ba1 0.9952 0.7354 0.0579
B3 0.5953 0.0143 0.5308
O1 0.7295 0.0273 0.6174
Ba2 0.2387 0.2387 0.0000
O2 0.5650 0.1471 0.4874
B4 0.4047 0.9857 0.0308
O3 0.1322 0.5105 0.0089
Ba3 0.6401 0.3599 0.7500
O4 0.9727 0.2705 0.8826
O5 0.0273 0.7295 0.3826
O6 0.2705 0.9727 0.1174
O7 0.3100 0.3101 0.6528
O8 0.6899 0.6900 0.8472
O9 0.8678 0.4895 0.5089
O10 0.3101 0.3100 0.3472
B5 0.0143 0.5953 0.4692
Ba4 0.3625 0.6375 0.7500
Ba5 0.7613 0.7613 0.5000
O11 0.6900 0.6899 0.1528
Cl2 0.9529 0.0471 0.2500
Ba6 0.3599 0.6401 0.2500
Ba7 0.0048 0.2646 0.5579
Ba8 0.7354 0.9952 0.9421
O12 0.5105 0.1322 0.9911
B6 0.9857 0.4047 0.9692
O13 0.4350 0.8529 0.9874
Ba9 0.2646 0.0048 0.4421
O14 0.4895 0.8678 0.4911
O15 0.4938 0.4938 0.0000
O16 0.8529 0.4350 0.0126
O17 0.5062 0.5062 0.5000
O18 0.1471 0.5650 0.5126
Ba10 0.6375 0.3625 0.2500
```

Output
Total DFT energy (no corrections), eV/atom: -7.010
Crystal system: orthorhombic
ΔE_f (raw), meV/atom: -2781
Symmetry: C222_1, No. 20